An optimized crystal structure of MnOsW2, computed with PBE-GGA.

The structure belongs to space group P4/mmm (No. 123); the cell edges are 3.880, 3.880 and 3.919 Å and the angles 90.00°, 90.00° and 90.00°. The asymmetric unit holds Mn at (0.000, 0.000, 0.000), Os at (0.500, 0.500, 0.000) and W at (0.000, 0.500, 0.500).

The size of the total moment is 2.0 Bohr magnetons per cell. As for the calculated formation energy: 0.58 eV/f.u.